Record 1
## BaIClO2 (SCAN)

Data for BaIClO2 at its PBEsol-relaxed geometry.

Properties
D(E_F)	2.85	states/eV/cell
electronic total energy	-19.61	eV/atom
uncorrected formation energy	-0.265	eV/atom

Cell lengths 4.443, 4.443, 7.567 Å; angles 90.00, 90.00, 90.00 degrees
Space group P4/mmm (No. 123)
One atom of each set of equivalent atoms:
Ba: 0.000 0.000 0.000
I: 0.000 0.000 0.500
Cl: 0.500 0.500 0.500
O: 0.000 0.500 0.000

---

Record 2
## LaOs3Pd (SCAN)

Data for LaOs3Pd at its PBEsol-relaxed geometry.

Properties
D(E_F)	4.74	states/eV/cell
electronic total energy	-56.60	eV/atom
formation energy	1.7002	eV/atom

Cell lengths 4.728, 4.728, 4.728 Å; angles 90.00, 90.00, 90.00 degrees
Space group Pm-3m (No. 221)
One atom of each set of equivalent atoms:
La: 0.000 0.000 0.000
Os: 0.000 0.500 0.500
Pd: 0.500 0.500 0.500

---

Record 3
## NaCr3Te (SCAN)

Data for NaCr3Te at its PBEsol-relaxed geometry.

Properties
D(E_F)	2.96	states/eV/cell
electronic total energy	-18.66	eV/atom
uncorrected formation energy	0.669	eV/atom

Cell lengths 5.197, 5.197, 5.197 Å; angles 90.00, 90.00, 90.00 degrees
Space group Pm-3m (No. 221)
One atom of each set of equivalent atoms:
Na: 0.000 0.000 0.000
Cr: 0.000 0.500 0.500
Te: 0.500 0.500 0.500

---

Record 4
## P2Rh (SCAN)

Data for P2Rh at its PBEsol-relaxed geometry.

Properties
D(E_F)	3.67	states/eV/cell
electronic total energy	-17.98	eV/atom
formation energy	0.2103	eV/atom

Cell lengths 3.331, 3.331, 7.439 Å; angles 90.00, 90.00, 90.00 degrees
Space group I4/mmm (No. 139)
One atom of each set of equivalent atoms:
P: 0.000 0.000 0.164
Rh: 0.000 0.000 0.500

---

Record 5
## AsCl (SCAN)

Data for AsCl at its PBEsol-relaxed geometry.

Properties
electronic total energy	-14.54	eV/atom
uncorrected formation energy	-0.452	eV/atom

Cell lengths 10.366, 3.620, 5.664 Å; angles 90.00, 101.43, 90.00 degrees
Space group C2/m (No. 12)
One atom of each set of equivalent atoms:
As: 0.205 0.000 0.352
Cl: 0.113 0.500 0.803

---

Record 6
## LaSc2Al (SCAN)

Data for LaSc2Al at its PBEsol-relaxed geometry.

Properties
D(E_F)	10.28	states/eV/cell
electronic total energy	-19.82	eV/atom
formation energy	0.0169	eV/atom

Cell lengths 6.389, 10.387, 3.175 Å; angles 90.00, 113.91, 90.00 degrees
Space group C2/m (No. 12)
One atom of each set of equivalent atoms:
La: 0.000 0.000 0.000
Sc: 0.250 0.250 0.500
Al: 0.000 0.500 0.000

---

Number 1: size of the total moment 0.04 μB per atom. Number 2: size of the total moment 0.68 μB per atom. Number 3: size of the total moment 2.72 μB per atom. Number 4: size of the total moment 0.00 μB per atom. Number 5: size of the total moment 0.00 μB per atom. Number 6: size of the total moment 0.00 μB per atom.